[1]
Computed, not measured: crystalline Mg2FeReNi at its relaxed geometry at the GGA-PBE level of DFT.

Properties
Total magnetization ... 3.276 Bohr magnetons per cell
D(E_F) ... 4.8 states/eV/f.u.
E_form ... 95 kJ/mol of atoms

abc: 4.4978 4.4978 4.5276
angles: 90.00 90.00 90.00
Space group P4/mmm (No. 123)
One atom of each set of equivalent atoms:
Mg 0.0000 0.5000 0.0000 [2 per cell]
Fe 0.0000 0.0000 0.5000 [1 per cell]
Re 0.5000 0.5000 0.5000 [1 per cell]
Ni 0.5000 0.5000 0.0000 [1 per cell]

---

[2]
Computed, not measured: crystalline MgFeNiRh at its relaxed geometry at the GGA-PBE level of DFT.

Properties
Total magnetization ... 16.893 Bohr magnetons per cell
D(E_F) ... 3.2 states/eV/f.u.
E_form ... -16 kJ/mol of atoms

abc: 6.0025 6.0025 6.0025
angles: 90.00 90.00 90.00
Space group F-43m (No. 216)
One atom of each set of equivalent atoms:
Mg 0.0000 0.0000 0.0000 [4 per cell]
Fe 0.0000 0.0000 0.5000 [4 per cell]
Ni 0.2500 0.2500 0.7500 [4 per cell]
Rh 0.2500 0.2500 0.2500 [4 per cell]

---

[3]
Computed, not measured: crystalline Mg2FeNiSe at its relaxed geometry at the GGA-PBE level of DFT.

Properties
Total DFT energy (no corrections) ... -3.614 eV per atom
Total magnetization ... 2.341 Bohr magnetons per cell
D(E_F) ... 5.9 states/eV/f.u.

abc: 4.9150 4.9150 4.3654
angles: 90.00 90.00 90.00
Space group P4/mmm (No. 123)
One atom of each set of equivalent atoms:
Mg 0.0000 0.5000 0.0000 [2 per cell]
Fe 0.0000 0.0000 0.5000 [1 per cell]
Ni 0.5000 0.5000 0.5000 [1 per cell]
Se 0.0000 0.0000 0.0000 [1 per cell]

---

[4]
Computed, not measured: crystalline Mg2FeSi2Ni5 at its relaxed geometry at the GGA-PBE level of DFT.

Properties
Total DFT energy (no corrections) ... -5.414 eV per atom
Total magnetization ... 6.764 Bohr magnetons per cell
D(E_F) ... 7.5 states/eV/f.u.

abc: 8.9521 8.9521 3.2476
angles: 90.00 90.00 90.00
Space group P4/mbm (No. 127)
One atom of each set of equivalent atoms:
Mg 0.1732 0.3268 0.0000 [4 per cell]
Fe 0.0000 0.0000 0.0000 [2 per cell]
Si 0.1261 0.6261 0.0000 [4 per cell]
Ni 0.0000 0.5000 0.5000 [2 per cell]
Ni 0.0648 0.7969 0.5000 [8 per cell]

---

[5]
Computed, not measured: crystalline MgFeNiSn at its relaxed geometry at the GGA-PBE level of DFT.

Properties
Total magnetization ... 6.642 Bohr magnetons per cell
D(E_F) ... 4.7 states/eV/f.u.
E_form ... -2 kJ/mol of atoms

abc: 6.1992 6.1992 6.1992
angles: 90.00 90.00 90.00
Space group F-43m (No. 216)
One atom of each set of equivalent atoms:
Mg 0.0000 0.0000 0.0000 [4 per cell]
Fe 0.2500 0.2500 0.2500 [4 per cell]
Ni 0.2500 0.2500 0.7500 [4 per cell]
Sn 0.0000 0.0000 0.5000 [4 per cell]

---

[6]
Computed, not measured: crystalline Mg2FeTcNi at its relaxed geometry at the GGA-PBE level of DFT.

Properties
Total magnetization ... 5.491 Bohr magnetons per cell
D(E_F) ... 4.1 states/eV/f.u.
E_form ... 90 kJ/mol of atoms

abc: 4.5146 4.5146 4.3971
angles: 90.00 90.00 90.00
Space group P4/mmm (No. 123)
One atom of each set of equivalent atoms:
Mg 0.0000 0.5000 0.0000 [2 per cell]
Fe 0.0000 0.0000 0.5000 [1 per cell]
Tc 0.5000 0.5000 0.5000 [1 per cell]
Ni 0.0000 0.0000 0.0000 [1 per cell]